A plane-wave DFT calculation with PBE was carried out for a relaxed KNaBe3 crystal.

a b c (Å): 5.106 5.106 5.106
angles (deg): 90.00 90.00 90.00
Space group Pm-3m (No. 221)
One atom of each set of equivalent atoms:
K 0.000 0.000 0.000 (multiplicity 1)
Na 0.500 0.500 0.500 (multiplicity 1)
Be 0.000 0.500 0.500 (multiplicity 3)

Properties
ρ = 1.1 g cm⁻³
calculated volume = 26.618 A^3/atom
total DFT energy (no corrections) = -5.81 eV/cell

---

A plane-wave DFT calculation with PBE was carried out for a relaxed KNaBeO2 crystal.

a b c (Å): 5.745 4.960 6.562
angles (deg): 90.00 93.18 90.00
Space group P2/c (No. 13)
One atom of each set of equivalent atoms:
K 0.000 0.065 0.250 (multiplicity 2)
Na 0.500 0.493 0.750 (multiplicity 2)
Be 0.500 0.000 0.000 (multiplicity 2)
O 0.328 0.211 0.993 (multiplicity 4)

Properties
ρ = 1.8 g cm⁻³
calculated volume = 18.671 A^3/atom
formation energy from raw total energies = -1.74 eV per atom
total DFT energy (no corrections) = -49.47 eV/cell

---

A plane-wave DFT calculation with PBE was carried out for a relaxed K2NaBeP2 crystal.

a b c (Å): 6.763 14.234 6.066
angles (deg): 90.00 90.00 90.00
Space group Ibam (No. 72)
One atom of each set of equivalent atoms:
K 0.240 0.172 0.000 (multiplicity 8)
Na 0.000 0.500 0.250 (multiplicity 4)
Be 0.000 0.000 0.250 (multiplicity 4)
P 0.185 0.083 0.500 (multiplicity 8)

Properties
ρ = 2.0 g cm⁻³
calculated volume = 24.333 A^3/atom
total DFT energy (no corrections) = -78.34 eV/cell

---

A plane-wave DFT calculation with PBE was carried out for a relaxed KNa2BeP2 crystal.

a b c (Å): 8.136 11.340 5.926
angles (deg): 90.00 90.00 90.00
Space group Ibam (No. 72)
One atom of each set of equivalent atoms:
K 0.000 0.000 0.250 (multiplicity 4)
Na 0.158 0.314 0.000 (multiplicity 8)
Be 0.000 0.500 0.250 (multiplicity 4)
P 0.167 0.407 0.500 (multiplicity 8)

Properties
ρ = 1.9 g cm⁻³
calculated volume = 22.782 A^3/atom
total DFT energy (no corrections) = -78.16 eV/cell

---

A plane-wave DFT calculation with PBE was carried out for a relaxed KNaBe2Pd crystal.

a b c (Å): 4.490 4.490 5.788
angles (deg): 90.00 90.00 90.00
Space group P4/mmm (No. 123)
One atom of each set of equivalent atoms:
K 0.000 0.000 0.000 (multiplicity 1)
Na 0.500 0.500 0.000 (multiplicity 1)
Be 0.000 0.500 0.500 (multiplicity 2)
Pd 0.000 0.000 0.500 (multiplicity 1)

Properties
ρ = 2.7 g cm⁻³
calculated volume = 23.341 A^3/atom
total DFT energy (no corrections) = -12.89 eV/cell

---

A plane-wave DFT calculation with PBE was carried out for a relaxed KNaBePt2 crystal.

a b c (Å): 4.366 4.366 5.146
angles (deg): 90.00 90.00 90.00
Space group P4/mmm (No. 123)
One atom of each set of equivalent atoms:
K 0.000 0.000 0.000 (multiplicity 1)
Na 0.500 0.500 0.000 (multiplicity 1)
Be 0.500 0.500 0.500 (multiplicity 1)
Pt 0.000 0.500 0.500 (multiplicity 2)

Properties
ρ = 7.8 g cm⁻³
calculated volume = 19.618 A^3/atom
total DFT energy (no corrections) = -18.85 eV/cell

---

A plane-wave DFT calculation with PBE was carried out for a relaxed K2NaBeRe crystal.

a b c (Å): 6.146 6.146 5.014
angles (deg): 90.00 90.00 90.00
Space group P4/mmm (No. 123)
One atom of each set of equivalent atoms:
K 0.000 0.500 0.000 (multiplicity 2)
Na 0.000 0.000 0.000 (multiplicity 1)
Be 0.000 0.000 0.500 (multiplicity 1)
Re 0.500 0.500 0.500 (multiplicity 1)

Properties
ρ = 2.6 g cm⁻³
calculated volume = 37.880 A^3/atom
total DFT energy (no corrections) = -10.09 eV/cell

---

A plane-wave DFT calculation with PBE was carried out for a relaxed K2NaSrBe crystal.

a b c (Å): 6.410 6.410 6.200
angles (deg): 90.00 90.00 90.00
Space group P4/mmm (No. 123)
One atom of each set of equivalent atoms:
K 0.000 0.500 0.000 (multiplicity 2)
Na 0.000 0.000 0.500 (multiplicity 1)
Sr 0.500 0.500 0.500 (multiplicity 1)
Be 0.500 0.500 0.000 (multiplicity 1)

Properties
ρ = 1.3 g cm⁻³
calculated volume = 50.946 A^3/atom
total DFT energy (no corrections) = -6.55 eV/cell

---

A plane-wave DFT calculation with PBE was carried out for a relaxed KNaBeTe2 crystal.

a b c (Å): 7.901 5.520 8.692
angles (deg): 90.00 103.03 90.00
Space group P2/c (No. 13)
One atom of each set of equivalent atoms:
K 0.000 0.241 0.250 (multiplicity 2)
Na 0.500 0.482 0.750 (multiplicity 2)
Be 0.500 0.000 0.000 (multiplicity 2)
Te 0.265 0.233 0.959 (multiplicity 4)

Properties
ρ = 2.9 g cm⁻³
calculated volume = 36.939 A^3/atom
formation energy from raw total energies = -0.63 eV per atom
total DFT energy (no corrections) = -31.14 eV/cell

---

A plane-wave DFT calculation with PBE was carried out for a relaxed KNaTi2Be crystal.

a b c (Å): 5.299 5.299 5.042
angles (deg): 90.00 90.00 90.00
Space group P4/mmm (No. 123)
One atom of each set of equivalent atoms:
K 0.000 0.000 0.000 (multiplicity 1)
Na 0.500 0.500 0.500 (multiplicity 1)
Ti 0.000 0.500 0.500 (multiplicity 2)
Be 0.500 0.500 0.000 (multiplicity 1)

Properties
ρ = 2.0 g cm⁻³
calculated volume = 28.316 A^3/atom
total DFT energy (no corrections) = -13.31 eV/cell

---

A plane-wave DFT calculation with PBE was carried out for a relaxed KNaBeTl2 crystal.

a b c (Å): 5.786 5.786 5.219
angles (deg): 90.00 90.00 90.00
Space group P4/mmm (No. 123)
One atom of each set of equivalent atoms:
K 0.000 0.000 0.000 (multiplicity 1)
Na 0.500 0.500 0.500 (multiplicity 1)
Be 0.500 0.500 0.000 (multiplicity 1)
Tl 0.000 0.500 0.500 (multiplicity 2)

Properties
ρ = 4.6 g cm⁻³
calculated volume = 34.946 A^3/atom
total DFT energy (no corrections) = -7.76 eV/cell

---

A plane-wave DFT calculation with PBE was carried out for a relaxed K2NaBeTl crystal.

a b c (Å): 6.707 6.707 5.951
angles (deg): 90.00 90.00 90.00
Space group P4/mmm (No. 123)
One atom of each set of equivalent atoms:
K 0.000 0.500 0.000 (multiplicity 2)
Na 0.000 0.000 0.500 (multiplicity 1)
Be 0.500 0.500 0.500 (multiplicity 1)
Tl 0.000 0.000 0.000 (multiplicity 1)

Properties
ρ = 2.0 g cm⁻³
calculated volume = 53.545 A^3/atom
total DFT energy (no corrections) = -5.92 eV/cell

---

A plane-wave DFT calculation with PBE was carried out for a relaxed K2NaZrBe crystal.

a b c (Å): 6.870 6.870 4.732
angles (deg): 90.00 90.00 90.00
Space group P4/mmm (No. 123)
One atom of each set of equivalent atoms:
K 0.000 0.500 0.000 (multiplicity 2)
Na 0.000 0.000 0.500 (multiplicity 1)
Zr 0.500 0.500 0.000 (multiplicity 1)
Be 0.500 0.500 0.500 (multiplicity 1)

Properties
ρ = 1.5 g cm⁻³
calculated volume = 44.662 A^3/atom
total DFT energy (no corrections) = -10.20 eV/cell

---

A plane-wave DFT calculation with PBE was carried out for a relaxed KBeNb crystal.

a b c (Å): 3.392 4.645 11.802
angles (deg): 98.28 92.81 111.37
Space group P1 (No. 1)
One atom of each set of equivalent atoms:
K 0.000 0.000 0.000 (multiplicity 1)
K 0.233 0.679 0.359 (multiplicity 1)
Be 0.044 0.230 0.560 (multiplicity 1)
Be 0.688 0.501 0.611 (multiplicity 1)
Nb 0.172 0.416 0.766 (multiplicity 1)
Nb 0.420 0.945 0.663 (multiplicity 1)

Properties
ρ = 2.7 g cm⁻³
calculated volume = 28.388 A^3/atom
total DFT energy (no corrections) = -26.58 eV/cell

---

A plane-wave DFT calculation with PBE was carried out for a relaxed KBeNb crystal.

a b c (Å): 3.401 4.643 11.803
angles (deg): 80.06 89.94 68.52
Space group P1 (No. 1)
One atom of each set of equivalent atoms:
K 0.000 0.000 0.000 (multiplicity 1)
K 0.347 0.308 0.358 (multiplicity 1)
Be 0.059 0.884 0.611 (multiplicity 1)
Be 0.670 0.663 0.560 (multiplicity 1)
Nb 0.362 0.278 0.663 (multiplicity 1)
Nb 0.677 0.647 0.766 (multiplicity 1)

Properties
ρ = 2.7 g cm⁻³
calculated volume = 28.405 A^3/atom
total DFT energy (no corrections) = -26.57 eV/cell

---

A plane-wave DFT calculation with PBE was carried out for a relaxed KBeNb crystal.

a b c (Å): 6.563 6.563 6.563
angles (deg): 90.00 90.00 90.00
Space group F-43m (No. 216)
One atom of each set of equivalent atoms:
K 0.000 0.000 0.000 (multiplicity 4)
Be 0.250 0.250 0.250 (multiplicity 4)
Nb 0.000 0.000 0.500 (multiplicity 4)

Properties
ρ = 3.3 g cm⁻³
calculated volume = 23.557 A^3/atom
total DFT energy (no corrections) = -37.07 eV/cell

---

A plane-wave DFT calculation with PBE was carried out for a relaxed KBeNb crystal.

a b c (Å): 4.0097 4.0097 5.9811
angles (deg): 90.00 90.00 120.00
Space group P-6m2 (No. 187)
One atom of each set of equivalent atoms:
K 0.0000 0.0000 0.0000 (multiplicity 1)
Be 0.3333 0.6667 0.5000 (multiplicity 1)
Nb 0.6667 0.3333 0.5000 (multiplicity 1)

Properties
ρ = 2.8 g cm⁻³
calculated volume = 27.760 A^3/atom
total DFT energy (no corrections) = -10.82 eV/cell

---

A plane-wave DFT calculation with PBE was carried out for a relaxed KBeNb crystal.

a b c (Å): 4.440 4.440 8.897
angles (deg): 90.00 90.00 90.00
Space group P4/nmm (No. 129, origin choice 2)
One atom of each set of equivalent atoms:
K 0.250 0.250 0.182 (multiplicity 2)
Be 0.250 0.750 0.500 (multiplicity 2)
Nb 0.250 0.250 0.583 (multiplicity 2)

Properties
ρ = 2.7 g cm⁻³
calculated volume = 29.229 A^3/atom
total DFT energy (no corrections) = -24.57 eV/cell

---

A plane-wave DFT calculation with PBE was carried out for a relaxed KBeNb crystal.

a b c (Å): 3.501 3.819 12.285
angles (deg): 98.69 90.22 90.00
Space group P1 (No. 1)
One atom of each set of equivalent atoms:
K 0.000 0.000 0.000 (multiplicity 1)
K 0.490 0.678 0.348 (multiplicity 1)
Be 0.000 0.864 0.728 (multiplicity 1)
Be 0.498 0.812 0.620 (multiplicity 1)
Nb 0.500 0.379 0.757 (multiplicity 1)
Nb 0.997 0.298 0.591 (multiplicity 1)

Properties
ρ = 2.9 g cm⁻³
calculated volume = 27.064 A^3/atom
total DFT energy (no corrections) = -27.86 eV/cell

---

A plane-wave DFT calculation with PBE was carried out for a relaxed KBeNb crystal.

a b c (Å): 4.0107 4.0107 11.9597
angles (deg): 90.00 90.00 120.00
Space group P6_3/mmc (No. 194)
One atom of each set of equivalent atoms:
K 0.0000 0.0000 0.0000 (multiplicity 2)
Be 0.3333 0.6667 0.2500 (multiplicity 2)
Nb 0.3333 0.6667 0.7500 (multiplicity 2)

Properties
ρ = 2.8 g cm⁻³
calculated volume = 27.768 A^3/atom
total DFT energy (no corrections) = -21.64 eV/cell